Entry 1:
This record from Alexandria describes a relaxed Cs2CdBiI6 crystal. The functional is PBE-GGA.

Summary:
Its space-group type is I4/mmm. The total energy is -2.46 eV/atom. The volume is 47.93 Å³ per atom.

Lattice parameters (Å, degrees): 8.7764 8.7764 8.7764 119.83 119.83 90.30
Last column: nearest neighbours and their distance in Å.
Positions (direct):
Cs (0.2500, 0.7500, 0.5000)  12 I 4.39-4.40
Cs (0.7500, 0.2500, 0.5000)  12 I 4.39-4.40
Cd (0.0000, 0.0000, 0.0000)  6 I 3.06-3.10
Bi (0.5000, 0.5000, 0.0000)  6 I 3.12-3.13
I (0.2470, 0.2470, 0.0000)  1 Cd 3.06, 1 Bi 3.13
I (0.2490, 0.2490, 0.4979)  1 Cd 3.10, 1 Bi 3.12
I (0.2490, 0.7510, 0.0000)  1 Cd 3.10, 1 Bi 3.12
I (0.7510, 0.2490, 0.0000)  1 Cd 3.10, 1 Bi 3.12
I (0.7510, 0.7510, 0.5021)  1 Cd 3.10, 1 Bi 3.12
I (0.7530, 0.7530, 0.0000)  1 Cd 3.06, 1 Bi 3.13

=====

Entry 2:
This record from Alexandria describes a relaxed CsCdBiI6 crystal. The functional is PBE-GGA.

Summary:
Its space-group type is P312. The total energy is -2.40 eV/atom. The volume is 52.79 Å³ per atom.

Lattice parameters (Å, degrees): 7.9262 7.9262 8.7322 90.00 90.00 120.00
Last column: nearest neighbours and their distance in Å.
Positions (direct):
Cs (0.0000, 0.0000, 0.0000)  6 I 3.92
Cd (0.3333, 0.6667, 0.5000)  6 I 3.04
Bi (0.6667, 0.3333, 0.5000)  6 I 3.11
I (0.0077, 0.3756, 0.2955)  1 Cd 3.04, 1 Bi 3.11
I (0.0077, 0.6321, 0.7045)  1 Cd 3.04, 1 Bi 3.11
I (0.3679, 0.3756, 0.7045)  1 Cd 3.04, 1 Bi 3.11
I (0.3679, 0.9923, 0.2955)  1 Cd 3.04, 1 Bi 3.11
I (0.6244, 0.6321, 0.2955)  1 Cd 3.04, 1 Bi 3.11
I (0.6244, 0.9923, 0.7045)  1 Cd 3.04, 1 Bi 3.11

=====

Entry 3:
This record from Alexandria describes a relaxed CsCdIn2Bi crystal. The functional is PBE-GGA.

Summary:
Its space-group type is Imm2. As for the formation energy: -0.173 eV per atom. The volume is 35.54 Å³ per atom.

Lattice parameters (Å, degrees): 7.2432 7.2432 7.2432 137.51 135.48 63.24
Last column: nearest neighbours and their distance in Å.
Positions (direct):
Cs (0.0000, 0.0000, 0.0000)  8 In 3.97-4.21, 4 Bi 4.06, 4 Cd 4.08-4.10
Cd (0.2550, 0.7550, 0.5000)  2 In 2.97, 2 Bi 3.24
In (0.3677, 0.3677, 0.0000)  2 Cd 2.97, 2 In 3.06, 1 Bi 3.06
In (0.7586, 0.2586, 0.5000)  2 In 3.06, 2 Bi 3.16
Bi (0.6160, 0.6160, 0.0000)  3 In 3.06-3.16, 2 Cd 3.24

=====

Entry 4:
This record from Alexandria describes a relaxed CsCdInBi2 crystal. The functional is PBE-GGA.

Summary:
Its space-group type is I-4m2. As for the formation energy: -0.229 eV per atom. The volume is 37.23 Å³ per atom.

Lattice parameters (Å, degrees): 8.1019 8.1019 8.1019 143.60 143.60 52.42
Last column: nearest neighbours and their distance in Å.
Positions (direct):
Cs (0.0000, 0.0000, 0.0000)  8 Bi 4.03, 4 Cd 4.43, 4 In 4.43
Cd (0.2500, 0.7500, 0.5000)  4 Bi 3.10
In (0.7500, 0.2500, 0.5000)  4 Bi 3.10
Bi (0.3731, 0.3731, 0.0000)  2 Cd 3.10, 2 In 3.10
Bi (0.6269, 0.6269, 0.0000)  2 Cd 3.10, 2 In 3.10

=====

Entry 5:
This record from Alexandria describes a relaxed CsCdInBi crystal. The functional is PBE-GGA.

Summary:
Its space-group type is P4/nmm. As for the formation energy: -0.126 eV per atom. The volume is 43.70 Å³ per atom.

Lattice parameters (Å, degrees): 5.2231 5.2231 12.8159 90.00 90.00 90.00
Last column: nearest neighbours and their distance in Å.
Positions (direct):
Cs (0.2500, 0.2500, 0.2419)  4 Bi 4.03, 4 Cd 4.05, 4 In 4.21
Cs (0.7500, 0.7500, 0.7581)  4 Bi 4.03, 4 Cd 4.05, 4 In 4.21
Cd (0.2500, 0.7500, 0.0000)  4 Cd 3.69, 4 Cs 4.05
Cd (0.7500, 0.2500, 0.0000)  4 Cd 3.69, 4 Cs 4.05
In (0.2500, 0.7500, 0.5000)  4 Bi 3.12
In (0.7500, 0.2500, 0.5000)  4 Bi 3.12
Bi (0.2500, 0.2500, 0.6329)  4 In 3.12
Bi (0.7500, 0.7500, 0.3671)  4 In 3.12

=====

Entry 6:
This record from Alexandria describes a relaxed CsCd2In2Bi2 crystal. The functional is PBE-GGA.

Summary:
Its space-group type is R-3m. As for the formation energy: -0.089 eV per atom. The volume is 37.84 Å³ per atom.

Lattice parameters (Å, degrees): 10.2880 10.2880 10.2880 31.56 31.56 31.56
Last column: nearest neighbours and their distance in Å.
Positions (direct):
Cs (0.0000, 0.0000, 0.0000)  2 In 3.78
Cd (0.4415, 0.4415, 0.4415)  3 Bi 3.24, 3 In 3.29, 1 Cd 3.43
Cd (0.5585, 0.5585, 0.5585)  3 Bi 3.24, 3 In 3.29, 1 Cd 3.43
In (0.1290, 0.1290, 0.1290)  4 Bi 3.08-3.35, 3 Cd 3.29
In (0.8710, 0.8710, 0.8710)  4 Bi 3.08-3.35, 3 Cd 3.29
Bi (0.2343, 0.2343, 0.2343)  4 In 3.08-3.35, 3 Cd 3.24
Bi (0.7657, 0.7657, 0.7657)  4 In 3.08-3.35, 3 Cd 3.24

=====

Entry 7:
This record from Alexandria describes a relaxed CsCd2InBi crystal. The functional is PBE-GGA.

Summary:
Its space-group type is Imm2. As for the formation energy: -0.176 eV per atom. The volume is 34.67 Å³ per atom.

Lattice parameters (Å, degrees): 7.4606 7.4606 7.4606 140.48 138.53 58.62
Last column: nearest neighbours and their distance in Å.
Positions (direct):
Cs (0.0000, 0.0000, 0.0000)  4 Bi 3.96, 8 Cd 3.98-4.15, 4 In 3.98-4.32
Cd (0.6216, 0.6216, 0.0000)  2 Cd 3.00, 2 In 3.04, 1 Bi 3.11
Cd (0.7463, 0.2463, 0.5000)  2 Cd 3.00, 2 Bi 3.18
In (0.2370, 0.7370, 0.5000)  2 Cd 3.04, 2 Bi 3.16
Bi (0.3827, 0.3827, 0.0000)  3 Cd 3.11-3.18, 2 In 3.16

=====

Entry 8:
This record from Alexandria describes a relaxed Cs2KCdBi2 crystal. The functional is PBE-GGA.

Summary:
Its space-group type is Ibam. As for the formation energy: -0.313 eV per atom. The volume is 47.42 Å³ per atom.

Lattice parameters (Å, degrees): 10.3557 10.3557 10.3557 131.82 67.57 135.63
Last column: nearest neighbours and their distance in Å.
Positions (direct):
Cs (0.1692, 0.2337, 0.4029)  4 Bi 3.88-4.13, 2 Cd 4.03, 2 K 4.17
Cs (0.3308, 0.7337, 0.0645)  4 Bi 3.88-4.13, 2 Cd 4.03, 2 K 4.17
Cs (0.6692, 0.2663, 0.9355)  4 Bi 3.88-4.13, 2 Cd 4.03, 2 K 4.17
Cs (0.8308, 0.7663, 0.5971)  4 Bi 3.88-4.13, 2 Cd 4.03, 2 K 4.17
K (0.2500, 0.7500, 0.5000)  4 Bi 3.60, 2 K 3.91
K (0.7500, 0.2500, 0.5000)  4 Bi 3.60, 2 K 3.91
Cd (0.2500, 0.2500, 0.0000)  4 Bi 3.05
Cd (0.7500, 0.7500, 0.0000)  4 Bi 3.05
Bi (0.0946, 0.8007, 0.8953)  2 Cd 3.05
Bi (0.4054, 0.3007, 0.7061)  2 Cd 3.05
Bi (0.5946, 0.6993, 0.2939)  2 Cd 3.05
Bi (0.9054, 0.1993, 0.1047)  2 Cd 3.05

=====

Entry 9:
This record from Alexandria describes a relaxed CsK2CdBi crystal. The functional is PBE-GGA.

Summary:
Its space-group type is P4/mmm. As for the formation energy: -0.113 eV per atom. The volume is 58.50 Å³ per atom. As for the energy above the most stable polymorph in this dataset: 0.0 meV/atom.

Lattice parameters (Å, degrees): 6.9382 6.9382 6.0762 90.00 90.00 90.00
Last column: nearest neighbours and their distance in Å.
Positions (direct):
Cs (0.0000, 0.0000, 0.0000)  8 K 4.61, 4 Cd 4.91
K (0.0000, 0.5000, 0.5000)  2 Bi 3.47
K (0.5000, 0.0000, 0.5000)  2 Bi 3.47
Cd (0.5000, 0.5000, 0.0000)  2 Bi 3.04
Bi (0.5000, 0.5000, 0.5000)  2 Cd 3.04

=====

Entry 10:
This record from Alexandria describes a relaxed Cs4K2CdBi2 crystal. The functional is PBE-GGA.

Summary:
Its space-group type is C2/m. As for the formation energy: -0.244 eV per atom. The volume is 58.90 Å³ per atom.

Lattice parameters (Å, degrees): 9.6419 9.6419 6.0373 100.16 100.16 75.68
Last column: nearest neighbours and their distance in Å.
Positions (direct):
Cs (0.0815, 0.6482, 0.8108)  3 Bi 3.99-4.23, 1 Cd 4.01, 1 K 4.21, 1 Cs 4.24
Cs (0.3518, 0.9185, 0.1892)  3 Bi 3.99-4.23, 1 Cd 4.01, 1 K 4.21, 1 Cs 4.24
Cs (0.6482, 0.0815, 0.8108)  3 Bi 3.99-4.23, 1 Cd 4.01, 1 K 4.21, 1 Cs 4.24
Cs (0.9185, 0.3518, 0.1892)  3 Bi 3.99-4.23, 1 Cd 4.01, 1 K 4.21, 1 Cs 4.24
K (0.3598, 0.3598, 0.3038)  2 Bi 3.92-3.93, 2 Cs 4.21
K (0.6402, 0.6402, 0.6962)  2 Bi 3.92-3.93, 2 Cs 4.21
Cd (0.0000, 0.0000, 0.5000)  2 Bi 2.90
Bi (0.1906, 0.1906, 0.7092)  1 Cd 2.90
Bi (0.8094, 0.8094, 0.2908)  1 Cd 2.90

=====

Entry 11:
This record from Alexandria describes a relaxed CsK2CdBi crystal. The functional is PBE-GGA.

Summary:
Its space-group type is P4/mmm. As for the formation energy: -0.099 eV per atom. The volume is 53.32 Å³ per atom. As for the energy above the most stable polymorph in this dataset: 14.3 meV/atom.

Lattice parameters (Å, degrees): 6.6860 6.6860 5.9636 90.00 90.00 90.00
Last column: nearest neighbours and their distance in Å.
Positions (direct):
Cs (0.0000, 0.0000, 0.0000)  8 K 4.48, 4 Bi 4.73
K (0.0000, 0.5000, 0.5000)  2 Cd 3.34
K (0.5000, 0.0000, 0.5000)  2 Cd 3.34
Cd (0.5000, 0.5000, 0.5000)  2 Bi 2.98
Bi (0.5000, 0.5000, 0.0000)  2 Cd 2.98

=====

Entry 12:
This record from Alexandria describes a relaxed Cs2KCdBi crystal. The functional is PBE-GGA.

Summary:
Its space-group type is P4/mmm. As for the formation energy: -0.070 eV per atom. The volume is 80.31 Å³ per atom. As for the energy above the most stable polymorph in this dataset: 7.3 meV/atom.

Lattice parameters (Å, degrees): 7.6322 7.6322 6.8937 90.00 90.00 90.00
Last column: nearest neighbours and their distance in Å.
Positions (direct):
Cs (0.0000, 0.5000, 0.0000)  2 Bi 3.82
Cs (0.5000, 0.0000, 0.0000)  2 Bi 3.82
K (0.0000, 0.0000, 0.5000)  2 Bi 3.45
Cd (0.5000, 0.5000, 0.5000)  8 Cs 5.14, 4 K 5.40
Bi (0.0000, 0.0000, 0.0000)  2 K 3.45, 4 Cs 3.82

=====

Entry 13:
This record from Alexandria describes a relaxed CsK2CdBi crystal. The functional is PBE-GGA.

Summary:
Its space-group type is P4/mmm. As for the formation energy: 0.153 eV per atom. The volume is 56.71 Å³ per atom. As for the energy above the most stable polymorph in this dataset: 265.5 meV/atom.

Lattice parameters (Å, degrees): 6.4576 6.4576 6.7998 90.00 90.00 90.00
Last column: nearest neighbours and their distance in Å.
Positions (direct):
Cs (0.0000, 0.0000, 0.0000)  2 Cd 3.40
K (0.0000, 0.5000, 0.5000)  2 Cd 3.23
K (0.5000, 0.0000, 0.5000)  2 Cd 3.23
Cd (0.0000, 0.0000, 0.5000)  4 K 3.23, 2 Cs 3.40
Bi (0.5000, 0.5000, 0.0000)  4 Cs 4.57, 8 K 4.69

=====

Entry 14:
This record from Alexandria describes a relaxed Cs2KCdBi crystal. The functional is PBE-GGA.

Summary:
Its space-group type is P4/mmm. As for the formation energy: -0.077 eV per atom. The volume is 63.42 Å³ per atom. As for the energy above the most stable polymorph in this dataset: 0.0 meV/atom.

Lattice parameters (Å, degrees): 7.3783 7.3783 5.8247 90.00 90.00 90.00
Last column: nearest neighbours and their distance in Å.
Positions (direct):
Cs (0.0000, 0.5000, 0.0000)  2 Cd 3.69
Cs (0.5000, 0.0000, 0.0000)  2 Cd 3.69
K (0.0000, 0.0000, 0.5000)  8 Cs 4.70, 4 Bi 5.22
Cd (0.5000, 0.5000, 0.0000)  2 Bi 2.91
Bi (0.5000, 0.5000, 0.5000)  2 Cd 2.91

=====

Entry 15:
This record from Alexandria describes a relaxed CsLiCdBi2 crystal. The functional is PBE-GGA.

Summary:
Its space-group type is I-4m2. As for the formation energy: -0.321 eV per atom. The volume is 34.58 Å³ per atom.

Lattice parameters (Å, degrees): 7.1332 7.1332 7.1332 135.98 135.98 64.01
Last column: nearest neighbours and their distance in Å.
Positions (direct):
Cs (0.0000, 0.0000, 0.0000)  4 Li 4.04, 4 Cd 4.04, 10 Bi 4.09-4.49
Li (0.7500, 0.2500, 0.5000)  4 Bi 3.05
Cd (0.2500, 0.7500, 0.5000)  4 Bi 3.05
Bi (0.3714, 0.3714, 0.0000)  2 Li 3.05, 2 Cd 3.05, 1 Bi 3.11
Bi (0.6286, 0.6286, 0.0000)  2 Cd 3.05, 2 Li 3.05, 1 Bi 3.11

=====

Entry 16:
This record from Alexandria describes a relaxed Cs2LiCdBi crystal. The functional is PBE-GGA.

Summary:
Its space-group type is P4/mmm. As for the formation energy: -0.149 eV per atom. The volume is 49.93 Å³ per atom.

Lattice parameters (Å, degrees): 6.9802 6.9802 5.1244 90.00 90.00 90.00
Last column: nearest neighbours and their distance in Å.
Positions (direct):
Cs (0.0000, 0.5000, 0.0000)  2 Li 3.49
Cs (0.5000, 0.0000, 0.0000)  2 Li 3.49
Li (0.0000, 0.0000, 0.0000)  2 Bi 2.56
Cd (0.5000, 0.5000, 0.5000)  8 Cs 4.33
Bi (0.0000, 0.0000, 0.5000)  2 Li 2.56

=====

Entry 17:
This record from Alexandria describes a relaxed CsMgCdBi crystal. The functional is PBE-GGA.

Summary:
Its space-group type is Cm. As for the formation energy: -0.119 eV per atom. The volume is 33.18 Å³ per atom.

Lattice parameters (Å, degrees): 3.8042 3.8042 9.1700 90.04 90.04 89.98
Last column: nearest neighbours and their distance in Å.
Positions (direct):
Cs (0.0000, 0.0000, 0.0000)  4 Cs 3.80, 4 Cd 3.92, 4 Bi 4.02
Mg (0.0030, 0.0030, 0.4777)  4 Cd 3.09-3.10, 4 Bi 3.23-3.25
Cd (0.5009, 0.5009, 0.3106)  4 Mg 3.09-3.10, 1 Bi 3.33
Bi (0.5007, 0.5007, 0.6743)  4 Mg 3.23-3.25, 1 Cd 3.33

=====

Entry 18:
This record from Alexandria describes a relaxed Cs2MgCd3Bi4 crystal. The functional is PBE-GGA.

Summary:
Its space-group type is P-4m2. As for the formation energy: -0.268 eV per atom. The volume is 35.15 Å³ per atom.

Lattice parameters (Å, degrees): 5.3513 5.3513 12.2747 90.00 90.00 90.00
Last column: nearest neighbours and their distance in Å.
Positions (direct):
Cs (0.0000, 0.5000, 0.2504)  6 Cd 4.07, 2 Mg 4.07, 8 Bi 4.08
Cs (0.5000, 0.0000, 0.7496)  6 Cd 4.07, 2 Mg 4.07, 8 Bi 4.08
Mg (0.0000, 0.0000, 0.5000)  4 Bi 3.08
Cd (0.0000, 0.5000, 0.8714)  5 Bi 3.03-3.11
Cd (0.5000, 0.0000, 0.1286)  5 Bi 3.03-3.11
Cd (0.5000, 0.5000, 0.5000)  4 Bi 3.08
Bi (0.0000, 0.0000, 0.0000)  4 Cd 3.11
Bi (0.0000, 0.5000, 0.6246)  3 Cd 3.03-3.08, 2 Mg 3.08
Bi (0.5000, 0.0000, 0.3754)  3 Cd 3.03-3.08, 2 Mg 3.08
Bi (0.5000, 0.5000, 0.0000)  4 Cd 3.11

=====

Entry 19:
This record from Alexandria describes a relaxed CsNa2CdBi crystal. The functional is PBE-GGA.

Summary:
Its space-group type is P4/mmm. As for the formation energy: -0.085 eV per atom. The volume is 42.60 Å³ per atom. As for the energy above the most stable polymorph in this dataset: 40.0 meV/atom.

Lattice parameters (Å, degrees): 5.9987 5.9987 5.9190 90.00 90.00 90.00
Last column: nearest neighbours and their distance in Å.
Positions (direct):
Cs (0.0000, 0.0000, 0.0000)  8 Na 4.21, 4 Bi 4.24
Na (0.0000, 0.5000, 0.5000)  2 Cd 3.00
Na (0.5000, 0.0000, 0.5000)  2 Cd 3.00
Cd (0.5000, 0.5000, 0.5000)  2 Bi 2.96, 4 Na 3.00
Bi (0.5000, 0.5000, 0.0000)  2 Cd 2.96

=====

Entry 20:
This record from Alexandria describes a relaxed CsNaCd2Bi crystal. The functional is PBE-GGA.

Summary:
Its space-group type is P4/mmm. As for the formation energy: 0.586 eV per atom. The volume is 61.04 Å³ per atom. As for the energy above the most stable polymorph in this dataset: 621.3 meV/atom.

Lattice parameters (Å, degrees): 6.7854 6.7854 6.6287 90.00 90.00 90.00
Last column: nearest neighbours and their distance in Å.
Positions (direct):
Cs (0.0000, 0.0000, 0.0000)  2 Bi 3.31, 4 Cd 3.39
Na (0.5000, 0.5000, 0.5000)  8 Cd 4.74, 4 Bi 4.80
Cd (0.0000, 0.5000, 0.0000)  2 Cs 3.39
Cd (0.5000, 0.0000, 0.0000)  2 Cs 3.39
Bi (0.0000, 0.0000, 0.5000)  2 Cs 3.31

=====

| no. | magnetization (μB per formula unit) |
| --- | --- |
| 1 | 0.00 |
| 2 | 0.00 |
| 3 | 0.00 |
| 4 | 0.00 |
| 5 | 0.00 |
| 6 | 0.00 |
| 7 | 0.00 |
| 8 | 0.00 |
| 9 | 0.51 |
| 10 | 0.00 |
| 11 | 0.74 |
| 12 | 0.00 |
| 13 | 0.20 |
| 14 | 0.73 |
| 15 | 0.00 |
| 16 | 0.00 |
| 17 | 0.00 |
| 18 | 0.00 |
| 19 | 0.00 |
| 20 | 0.00 |